Material: HgAs2
Method: DFT, GGA-PBEsol
State: relaxed

Properties
**Magnetic moment**: 0.000 μB per atom
**Volume**: 21.03 A^3/atom

```
6
Lattice="-5.4632 -1.3178 -0.3350 -1.5545 -5.2757 -1.2025 -2.3698 -3.2108 3.9711" Properties=species:S:1:pos:R:3 pbc="T T T"
As -1.9507 -3.8634 -0.2971
As -1.1734 -1.2255 0.3042
As -3.9050 -1.8845 0.1367
As -2.3583 -2.8310 2.2898
Hg -7.0406 -7.3533 1.8252
Hg -4.6937 -4.9022 1.2168
```



Material: LiMgCr2
Method: DFT, GGA-PBEsol
State: relaxed

Properties
**Magnetic moment**: 2.031 μB per atom
**Volume**: 17.14 A^3/atom

```
4
Lattice="-2.3651 -0.0237 2.1331 1.7708 -3.8345 1.9207 2.8512 4.5415 0.8339" Properties=species:S:1:pos:R:3 pbc="T T T"
Mg 2.1270 -0.6472 2.3511
Cr 0.1410 1.3420 2.5491
Cr 0.0110 0.0112 0.0123
Li 2.5319 2.5898 2.8360
```



no.,DFT formation energy (eV/atom),final energy (eV/atom)
1,0.351,-3.242
2,0.876,-5.166